# 1
{"formula": "Zr2CrOsPd", "functional": "PBE", "state": "relaxed", "space_group": "No. 123", "ef_mev_per_atom": 1252, "rho_g_cm3": 8.2, "lattice": [[-2.6025, -3.1729, -2.8348], [-2.3994, -1.0845, 3.4168], [-3.2259, 3.6382, -1.1106]], "species": ["Pd", "Cr", "Os", "Zr", "Zr"], "frac_coords": [[0.0000, 0.0000, 0.0000], [0.0000, 0.5000, 0.0000], [0.5000, 0.5000, 0.5000], [0.5000, 0.0000, 0.0000], [0.0000, 0.0000, 0.5000]]}

# 2
{"formula": "BiP2SeO", "functional": "PBE", "state": "relaxed", "space_group": "No. 123", "rho_g_cm3": 5.2, "polymorph_energy_mev_per_atom": 488, "e_form_raw_mev_per_atom": 825, "lattice": [[5.3102, 0.0000, 0.0000], [0.0000, 5.3102, 0.0000], [0.0000, 0.0000, 4.1478]], "species": ["Bi", "P", "P", "O", "Se"], "frac_coords": [[0.0000, 0.0000, 0.0000], [0.5000, 0.0000, 0.0000], [0.0000, 0.5000, 0.0000], [0.0000, 0.0000, 0.5000], [0.5000, 0.5000, 0.5000]]}

# 3
{"formula": "TaSiSe2", "functional": "PBE", "state": "relaxed", "space_group": "No. 166", "rho_g_cm3": 7.5, "e_form_raw_mev_per_atom": -121, "lattice": [[8.9086, 0.0394, 0.0233], [8.2871, 3.2693, 0.0233], [8.2871, 1.5946, 2.8542]], "species": ["Ta", "Se", "Se", "Si"], "frac_coords": [[0.7500, 0.7500, 0.7500], [0.4853, 0.4853, 0.4853], [0.0147, 0.0147, 0.0147], [0.2500, 0.2500, 0.2500]]}

# 4
{"formula": "Pu5Mn2Ge5", "functional": "PBE", "state": "relaxed", "space_group": "No. 12", "ef_mev_per_atom": -335, "rho_g_cm3": 11.7, "lattice": [[-2.4558, -1.3085, -3.5894], [-5.6320, -4.6932, 2.6908], [-4.4922, 5.8186, -1.9210]], "species": ["Ge", "Ge", "Ge", "Ge", "Ge", "Pu", "Pu", "Pu", "Pu", "Pu", "Mn", "Mn"], "frac_coords": [[0.0344, 0.7224, 0.2088], [0.9656, 0.2776, 0.7912], [0.0000, 0.0000, 0.0000], [0.6911, 0.2600, 0.3578], [0.3089, 0.7400, 0.6422], [0.3423, 0.9833, 0.3321], [0.6984, 0.6883, 0.9150], [0.3016, 0.3117, 0.0850], [0.6577, 0.0167, 0.6679], [0.0000, 0.5000, 0.5000], [0.5888, 0.5767, 0.2457], [0.4112, 0.4233, 0.7543]]}

Calculated D(E_F) in order - 7.9; 3.9; 1.2; 28.9 states/eV/f.u.